A relaxed Pm2Pr2SmHo4 crystal, computed with PBE.

**Energy of formation**: 0.0053 eV/atom

Lattice parameters (Å, degrees): 3.643 9.605 9.677 115.29 90.00 100.93
Sites, in units of the cell vectors:
Pm: 0.334 0.668 0.997
Pm: 0.666 0.332 0.003
Ho: 0.185 0.369 0.336
Ho: 0.480 0.961 0.669
Ho: 0.520 0.039 0.331
Ho: 0.815 0.631 0.664
Sm: 0.000 0.000 0.000
Pr: 0.147 0.294 0.663
Pr: 0.853 0.706 0.337